The following is a DFT calculation (PBE) of a relaxed structure of Er4InRu2Au.

Unit cell a=8.5826 b=8.5826 c=8.5826 alpha=33.62 beta=33.62 gamma=33.62
Fractional coordinates of all 8 atoms:
1 Er 0.1217 0.1217 0.1217
2 Er 0.3719 0.3719 0.3719
3 Er 0.6281 0.6281 0.6281
4 Er 0.8783 0.8783 0.8783
5 In 0.5000 0.5000 0.5000
6 Ru 0.2478 0.2478 0.2478
7 Ru 0.7522 0.7522 0.7522
8 Au 0.0000 0.0000 0.0000

Results
- calculated formation energy (meV per atom) = -490
- space-group type = No. 166

***

The following is a DFT calculation (PBE) of a relaxed structure of Ho2ErAg.

Unit cell a=10.6186 b=10.6186 c=10.6186 alpha=19.07 beta=19.07 gamma=19.07
Fractional coordinates of all 4 atoms:
1 Ho 0.2421 0.2421 0.2421
2 Ho 0.7579 0.7579 0.7579
3 Er 0.0000 0.0000 0.0000
4 Ag 0.5000 0.5000 0.5000

Results
- calculated formation energy (meV per atom) = -21
- space-group type = No. 166
- polymorph energy (0 for the lowest one) (kcal/mol of atoms) = 2.56

***

The following is a DFT calculation (PBE) of a relaxed structure of Zn2MoRh.

Unit cell a=2.8118 b=3.6868 c=5.6601 alpha=90.00 beta=90.00 gamma=90.00
Fractional coordinates of all 4 atoms:
1 Zn 0.0000 0.0000 0.0000
2 Zn 0.5000 0.5000 0.2322
3 Mo 0.0000 0.0000 0.5085
4 Rh 0.5000 0.5000 0.7335

Results
- calculated formation energy (meV per atom) = -90
- space-group type = No. 25
- polymorph energy (0 for the lowest one) (kcal/mol of atoms) = 1.48

***

The following is a DFT calculation (PBE) of a relaxed structure of Tb2ScTe2O2.

Unit cell a=8.8118 b=8.8118 c=8.8118 alpha=152.81 beta=152.81 gamma=38.83
Fractional coordinates of all 7 atoms:
1 Tb 0.1025 0.1025 0.0000
2 Tb 0.8975 0.8975 0.0000
3 Sc 0.5000 0.5000 0.0000
4 Te 0.3214 0.3214 0.0000
5 Te 0.6786 0.6786 0.0000
6 O 0.0000 0.5000 0.5000
7 O 0.5000 0.0000 0.5000

Results
- space-group type = No. 139
- uncorrected formation energy (eV per atom) = -2.21

***

The following is a DFT calculation (PBE) of a relaxed structure of PH2WAu.

Unit cell a=3.5856 b=3.5856 c=5.4117 alpha=90.00 beta=90.00 gamma=90.00
Fractional coordinates of all 5 atoms:
1 P 0.0000 0.0000 0.0000
2 H 0.0000 0.5000 0.5000
3 H 0.5000 0.0000 0.5000
4 W 0.5000 0.5000 0.5000
5 Au 0.5000 0.5000 0.0000

Results
- space-group type = No. 123

***

The following is a DFT calculation (PBE) of a relaxed structure of Dy2GeI3.

Unit cell a=10.5896 b=10.5896 c=14.5721 alpha=128.86 beta=128.86 gamma=22.68
Fractional coordinates of all 12 atoms:
1 Dy 0.1015 0.1015 0.2320
2 Dy 0.3739 0.3739 0.0545
3 Dy 0.6261 0.6261 0.9455
4 Dy 0.8985 0.8985 0.7680
5 Ge 0.0609 0.0609 0.0004
6 Ge 0.9391 0.9391 0.9996
7 I 0.1807 0.1807 0.8414
8 I 0.2590 0.2590 0.6505
9 I 0.4622 0.4622 0.6786
10 I 0.5378 0.5378 0.3214
11 I 0.7410 0.7410 0.3495
12 I 0.8193 0.8193 0.1586

Results
- space-group type = No. 12
- uncorrected formation energy (eV per atom) = -1.04

***

The following is a DFT calculation (PBE) of a relaxed structure of Tm2VIn.

Unit cell a=5.1347 b=5.1347 c=5.1347 alpha=60.00 beta=60.00 gamma=60.00
Fractional coordinates of all 4 atoms:
1 Tm 0.2500 0.2500 0.2500
2 Tm 0.7500 0.7500 0.7500
3 V 0.0000 0.0000 0.0000
4 In 0.5000 0.5000 0.5000

Results
- calculated formation energy (meV per atom) = -55
- space-group type = No. 225
- polymorph energy (0 for the lowest one) (kcal/mol of atoms) = 0.66

***

The following is a DFT calculation (PBE) of a relaxed structure of AcScGe.

Unit cell a=5.0425 b=5.0425 c=5.0425 alpha=60.00 beta=60.00 gamma=60.00
Fractional coordinates of all 3 atoms:
1 Ac 0.0000 0.0000 0.0000
2 Sc 0.5000 0.5000 0.5000
3 Ge 0.2500 0.2500 0.2500

Results
- calculated formation energy (meV per atom) = -352
- space-group type = No. 216
- polymorph energy (0 for the lowest one) (kcal/mol of atoms) = 6.96

***

The following is a DFT calculation (PBE) of a relaxed structure of CuP2Ru2.

Unit cell a=6.8337 b=6.8337 c=2.8293 alpha=90.00 beta=90.00 gamma=90.00
Fractional coordinates of all 10 atoms:
1 Cu 0.0000 0.0000 0.0000
2 Cu 0.5000 0.5000 0.0000
3 P 0.1501 0.3499 0.0000
4 P 0.3499 0.8499 0.0000
5 P 0.6501 0.1501 0.0000
6 P 0.8499 0.6501 0.0000
7 Ru 0.1473 0.6473 0.5000
8 Ru 0.3527 0.1473 0.5000
9 Ru 0.6473 0.8527 0.5000
10 Ru 0.8527 0.3527 0.5000

Results
- calculated formation energy (meV per atom) = -175
- space-group type = No. 127
- polymorph energy (0 for the lowest one) (kcal/mol of atoms) = 0.00

***

Number 1: V 172.63 Å³ per cell, DFT total energy -5.843 eV/atom. Number 2: V 111.75 Å³ per cell, DFT total energy -4.163 eV/atom. Number 3: V 58.68 Å³ per cell, DFT total energy -5.273 eV/atom. Number 4: V 142.62 Å³ per cell, DFT total energy -6.755 eV/atom. Number 5: V 69.58 Å³ per cell, DFT total energy -4.810 eV/atom. Number 6: V 484.18 Å³ per cell, DFT total energy -4.115 eV/atom. Number 7: V 95.73 Å³ per cell, DFT total energy -5.255 eV/atom. Number 8: V 90.66 Å³ per cell, DFT total energy -5.372 eV/atom. Number 9: V 132.13 Å³ per cell, DFT total energy -6.868 eV/atom.